{
  "formula": "ScRuPb",
  "functional": "GGA-PBE",
  "state": "optimized geometry",
  "formation_enthalpy_0k_ev_per_atom": -0.11,
  "final_energy_ev_per_atom": -6.55,
  "lattice": [[-3.7453, 0.4786, -2.5594], [-0.6904, -2.7546, -3.5696], [-3.2889, -3.1568, 0.1577]],
  "species": ["Pb", "Ru", "Sc"],
  "fractional_positions": [[0.5000, 0.5000, 0.5000], [0.7500, 0.7500, 0.7500], [0.0000, 0.0000, 0.0000]]
}

{
  "formula": "Sc2RuPb",
  "functional": "GGA-PBE",
  "state": "optimized geometry",
  "formation_enthalpy_0k_ev_per_atom": -0.07,
  "final_energy_ev_per_atom": -6.48,
  "lattice": [[-0.9916, 6.5850, -3.9840], [-7.6599, -0.4535, 1.1570], [-4.0443, 4.5990, 1.0507]],
  "species": ["Pb", "Pb", "Ru", "Ru", "Sc", "Sc", "Sc", "Sc"],
  "fractional_positions": [[0.0000, 0.0000, 0.0000], [0.7500, 0.2500, 0.5000], [0.5000, 0.5000, 0.0000], [0.2500, 0.7500, 0.5000], [0.5621, 0.1250, 0.2500], [0.1879, 0.6250, 0.2500], [0.3750, 0.4379, 0.7500], [0.8750, 0.8121, 0.7500]]
}

What did the second record say?
{
  "formula": "Sc2RuPb",
  "functional": "GGA-PBE",
  "state": "optimized geometry",
  "formation_enthalpy_0k_ev_per_atom": -0.07,
  "final_energy_ev_per_atom": -6.48,
  "lattice": [[-0.9916, 6.5850, -3.9840], [-7.6599, -0.4535, 1.1570], [-4.0443, 4.5990, 1.0507]],
  "species": ["Pb", "Pb", "Ru", "Ru", "Sc", "Sc", "Sc", "Sc"],
  "fractional_positions": [[0.0000, 0.0000, 0.0000], [0.7500, 0.2500, 0.5000], [0.5000, 0.5000, 0.0000], [0.2500, 0.7500, 0.5000], [0.5621, 0.1250, 0.2500], [0.1879, 0.6250, 0.2500], [0.3750, 0.4379, 0.7500], [0.8750, 0.8121, 0.7500]]
}

Question: Number 1 is which compound?
Answer: ScRuPb